Entry 1:
VASP calculation (GGA-PBE) on an optimized crystal structure of Sr4Pt.

Structure (POSCAR):
```
Sr4Pt
1.0
7.0775 0.0000 0.0000
-0.0013 8.5523 0.0000
-0.0028 -4.2695 7.4997
Sr Pt
8 2
Direct
0.2318 0.1644 0.3301
0.2502 0.6703 0.8400
0.2509 0.1694 0.8398
0.2673 0.6638 0.3291
0.7327 0.3362 0.6709
0.7491 0.8306 0.1602
0.7498 0.3297 0.1600
0.7682 0.8356 0.6699
0.0000 0.0000 0.0000
0.5000 0.5000 0.0000
```

Results
Energy ... -3.0270 eV per atom
Energy relative to the lowest polymorph listed for this composition ... 0.0 meV per atom
SG ... P-1 (2)
Formation enthalpy at 0 K ... -0.473 eV per atom

***

Entry 2:
VASP calculation (GGA-PBE) on an optimized crystal structure of SnRhSe.

Structure (POSCAR):
```
SnRhSe
1.0
6.4675 0.0000 0.0000
0.0000 6.4340 0.0000
-2.6237 0.0000 5.9583
Sn Rh Se
4 4 4
Direct
0.1441 0.1405 0.3778
0.1441 0.3595 0.8778
0.8559 0.6405 0.1222
0.8559 0.8595 0.6222
0.2901 0.5073 0.3016
0.2901 0.9927 0.8016
0.7099 0.0073 0.1984
0.7099 0.4927 0.6984
0.3460 0.6315 0.6822
0.3460 0.8685 0.1822
0.6540 0.1315 0.8178
0.6540 0.3685 0.3178
```

Results
Energy ... -5.4699 eV per atom
Uncorrected formation energy ... -523.6 meV per atom
SG ... P2_1/c (14)

***

Entry 3:
VASP calculation (GGA-PBE) on an optimized crystal structure of ScPa3C3.

Structure (POSCAR):
```
ScPa3C3
1.0
4.9011 0.0000 0.0000
0.0000 4.9011 0.0000
0.0000 0.0000 4.9011
Sc Pa C
1 3 3
Direct
0.0000 0.0000 0.0000
0.0000 0.5000 0.5000
0.5000 0.0000 0.5000
0.5000 0.5000 0.0000
0.0000 0.0000 0.5000
0.0000 0.5000 0.0000
0.5000 0.0000 0.0000
```

Results
Energy ... -9.2925 eV per atom
SG ... Pm-3m (221)
Formation enthalpy at 0 K ... -0.365 eV per atom

***

Entry 4:
VASP calculation (GGA-PBE) on an optimized crystal structure of BeTe3.

Structure (POSCAR):
```
BeTe3
1.0
4.9998 0.0000 0.0000
0.0000 3.7426 0.0000
-2.2453 0.0000 5.4666
Be Te
1 3
Direct
0.0000 0.0000 0.0000
0.0000 0.0000 0.5000
0.3687 0.5000 0.1751
0.6313 0.5000 0.8249
```

Results
Energy ... -3.1235 eV per atom
Energy relative to the lowest polymorph listed for this composition ... 137.1 meV per atom
Uncorrected formation energy ... 164.3 meV per atom
SG ... P2/m (10)